The following is a DFT calculation (PBE) of Zn2BIr after structural relaxation.

## Properties
- E_form (kJ/mol of formula units) = 204
- V (Å³/atom) = 13.18
- space-group type = No. 122
- total moment (μB per formula unit) = 0.00

POSCAR file:
```
Zn2BIr
1.0
-1.6524 1.6524 9.6524
1.6524 -1.6524 9.6524
1.6524 1.6524 -9.6524
Zn B Ir
4 2 2
Direct
0.1241 0.6250 0.9991 Zn
0.3750 0.3741 0.4991 Zn
0.6259 0.1250 0.0009 Zn
0.8750 0.8759 0.5009 Zn
0.2500 0.7500 0.5000 B
0.5000 0.5000 0.0000 B
0.0000 0.0000 0.0000 Ir
0.7500 0.2500 0.5000 Ir
```